1.
## Pa2IrSe (GGA-PBE)

Data for an optimized crystal structure of Pa2IrSe.

extended XYZ file:
```
12
Lattice="3.945 0.000 0.000 -1.972 3.416 0.000 0.000 0.000 21.295" Properties=species:S:1:pos:R:3 pbc="T T T"
Pa 0.000 0.000 5.185
Pa 0.000 0.000 16.110
Pa 0.000 2.278 9.012
Pa 0.000 2.278 19.381
Pa 1.972 1.139 1.914
Pa 1.972 1.139 12.283
Ir 0.000 0.000 10.647
Ir 0.000 2.278 3.549
Ir 1.972 1.139 17.745
Se 0.000 0.000 0.000
Se 0.000 2.278 14.196
Se 1.972 1.139 7.098
```

Uncorrected formation energy: -1.009 eV per atom
Magnetization: 0.0 μB/f.u.
Energy: -8.84 eV per atom
Offset from the most stable computed form: 0.00 eV per formula unit

***

2.
## Tb4Pr2ErTh (GGA-PBE)

Data for an optimized crystal structure of Tb4Pr2ErTh.

extended XYZ file:
```
8
Lattice="5.960 0.000 0.000 0.000 5.960 0.000 0.000 0.000 7.419" Properties=species:S:1:pos:R:3 pbc="T T T"
Tb 0.000 2.980 1.855
Tb 0.000 2.980 5.564
Tb 2.980 0.000 1.855
Tb 2.980 0.000 5.564
Pr 0.000 0.000 0.000
Pr 2.980 2.980 3.709
Er 0.000 0.000 3.709
Th 2.980 2.980 0.000
```

Energy relative to the elements: 2.933 kcal/mol of atoms
Magnetization: 0.0 μB/f.u.
Energy: -4.88 eV per atom

***

3.
## Er7Tl2Cd2 (GGA-PBE)

Data for an optimized crystal structure of Er7Tl2Cd2.

extended XYZ file:
```
11
Lattice="3.868 -5.555 0.000 3.868 5.555 0.000 0.000 0.000 7.818" Properties=species:S:1:pos:R:3 pbc="T T T"
Er 0.000 0.000 0.000
Er 1.934 2.778 2.269
Er 1.934 2.778 5.549
Er 1.934 -2.778 2.269
Er 1.934 -2.778 5.549
Er 3.868 0.000 2.128
Er 3.868 0.000 5.690
Tl 3.868 2.251 0.000
Tl 3.868 -2.251 0.000
Cd 1.366 0.000 3.909
Cd 6.370 0.000 3.909
```

Energy relative to the elements: 0.882 kcal/mol of atoms
Magnetization: 0.0 μB/f.u.
Energy: -3.46 eV per atom

***

4.
## TlRuSe (GGA-PBE)

Data for an optimized crystal structure of TlRuSe.

extended XYZ file:
```
3
Lattice="3.408 0.000 0.000 -1.704 2.951 0.000 0.000 0.000 6.366" Properties=species:S:1:pos:R:3 pbc="T T T"
Tl 0.000 0.000 0.000
Ru 0.000 1.967 2.224
Se 1.704 0.984 3.622
```

Uncorrected formation energy: 0.072 eV per atom
Magnetization: 0.0 μB/f.u.
Energy: -4.97 eV per atom
Offset from the most stable computed form: 0.52 eV per formula unit

***

5.
## LaRhBr6 (GGA-PBE)

Data for an optimized crystal structure of LaRhBr6.

extended XYZ file:
```
8
Lattice="3.393 1.959 6.240 -3.393 1.959 6.240 0.000 -3.917 6.240" Properties=species:S:1:pos:R:3 pbc="T T T"
La 0.000 0.000 0.000
Rh 0.000 0.000 9.361
Br -1.133 -1.727 7.915
Br -2.062 0.118 10.806
Br -0.929 1.845 7.915
Br 0.929 -1.845 10.806
Br 2.062 -0.118 7.915
Br 1.133 1.727 10.806
```

Uncorrected formation energy: -1.070 eV per atom
Magnetization: 0.0 μB/f.u.
Energy: -3.86 eV per atom

***

6.
## NaSc2Re (GGA-PBE)

Data for an optimized crystal structure of NaSc2Re.

extended XYZ file:
```
12
Lattice="2.956 0.000 0.000 -1.478 2.560 0.000 0.000 0.000 34.405" Properties=species:S:1:pos:R:3 pbc="T T T"
Na 0.000 0.000 0.000
Na 0.000 1.707 22.936
Na 1.478 0.853 11.468
Sc 0.000 0.000 14.615
Sc 0.000 0.000 19.790
Sc 0.000 1.707 3.146
Sc 0.000 1.707 8.322
Sc 1.478 0.853 26.083
Sc 1.478 0.853 31.258
Re 0.000 0.000 17.202
Re 0.000 1.707 5.734
Re 1.478 0.853 28.671
```

Energy relative to the elements: 14.719 kcal/mol of atoms
Magnetization: 0.0 μB/f.u.
Energy: -5.97 eV per atom
Offset from the most stable computed form: 1.63 eV per formula unit

***

7.
## NdAl2Co (GGA-PBE)

Data for an optimized crystal structure of NdAl2Co.

extended XYZ file:
```
12
Lattice="4.114 0.000 0.000 -2.057 3.563 0.000 0.000 0.000 16.203" Properties=species:S:1:pos:R:3 pbc="T T T"
Nd 0.000 0.000 0.000
Nd 0.000 2.375 10.802
Nd 2.057 1.188 5.401
Al 0.000 0.000 3.305
Al 0.000 0.000 12.898
Al 0.000 2.375 7.497
Al 0.000 2.375 14.107
Al 2.057 1.188 2.096
Al 2.057 1.188 8.706
Co 0.000 0.000 8.101
Co 0.000 2.375 2.700
Co 2.057 1.188 13.502
```

Energy relative to the elements: -9.204 kcal/mol of atoms
Magnetization: 0.0 μB/f.u.
Energy: -5.24 eV per atom

***

8.
## Pr2H12PdRh3 (GGA-PBE)

Data for an optimized crystal structure of Pr2H12PdRh3.

extended XYZ file:
```
18
Lattice="3.090 1.784 5.000 -3.090 1.784 5.000 0.000 -3.568 5.000" Properties=species:S:1:pos:R:3 pbc="T T T"
Pr 0.000 0.000 1.798
Pr 0.000 0.000 13.203
H -1.431 -0.826 6.712
H 0.000 -1.649 4.789
H -1.428 0.824 4.789
H -1.428 -0.824 10.212
H 0.000 -1.652 8.289
H -1.431 0.826 8.289
H 1.431 -0.826 6.712
H 0.000 1.652 6.712
H 1.428 0.824 4.789
H 1.428 -0.824 10.212
H 0.000 1.649 10.212
H 1.431 0.826 8.289
Pd 0.000 0.000 7.500
Rh -1.545 -0.892 5.000
Rh -1.545 0.892 10.001
Rh 0.000 1.784 5.000
```

Magnetization: 0.0 μB/f.u.
Energy: -4.56 eV per atom